# 1
# Y4ZnIn

A relaxed Y4ZnIn crystal (PBE-GGA, the Alexandria database).

Formation enthalpy at 0 K in eV/atom: 0.325
Excess energy over the best structure of this formula in the dataset in eV/atom: 0.606
Space-group type: No. 216
Magnetic moment in μB/cell: 0.000

Cell and atoms, written as POSCAR:
```
Y4ZnIn
1.0
0.0000 4.4506 4.4506
4.4506 0.0000 4.4506
4.4506 4.4506 0.0000
Y Zn In
4 1 1
Direct
0.1254 0.1254 0.1254 Y
0.1254 0.1254 0.6239 Y
0.1254 0.6239 0.1254 Y
0.6239 0.1254 0.1254 Y
0.7500 0.7500 0.7500 Zn
0.5000 0.5000 0.5000 In
```



# 2
# Y11Zn4In9

A relaxed Y11Zn4In9 crystal (PBE-GGA, the Alexandria database).

Formation enthalpy at 0 K in eV/atom: -0.463
Space-group type: No. 65
Magnetic moment in μB/cell: 0.000

Cell and atoms, written as POSCAR:
```
Y11Zn4In9
1.0
7.3123 -10.9998 0.0000
7.3123 10.9998 0.0000
0.0000 0.0000 3.7416
Y Zn In
11 4 9
Direct
0.0000 0.0000 0.0000 Y
0.0660 0.4122 0.0000 Y
0.1619 0.8381 0.0000 Y
0.3017 0.3017 0.0000 Y
0.3687 0.6313 0.0000 Y
0.4122 0.0660 0.0000 Y
0.5878 0.9340 0.0000 Y
0.6313 0.3687 0.0000 Y
0.6983 0.6983 0.0000 Y
0.8381 0.1619 0.0000 Y
0.9340 0.5878 0.0000 Y
0.2503 0.4495 0.5000 Zn
0.4495 0.2503 0.5000 Zn
0.5505 0.7497 0.5000 Zn
0.7497 0.5505 0.5000 Zn
0.0695 0.2160 0.5000 In
0.1564 0.6305 0.5000 In
0.2160 0.0695 0.5000 In
0.3695 0.8436 0.5000 In
0.5000 0.5000 0.5000 In
0.6305 0.1564 0.5000 In
0.7840 0.9305 0.5000 In
0.8436 0.3695 0.5000 In
0.9305 0.7840 0.5000 In
```



# 3
# Y2ZnIn

A relaxed Y2ZnIn crystal (PBE-GGA, the Alexandria database).

Formation enthalpy at 0 K in eV/atom: -0.069
Space-group type: No. 122
Magnetic moment in μB/cell: 0.000

Cell and atoms, written as POSCAR:
```
Y2ZnIn
1.0
-4.0155 4.0155 3.4323
4.0155 -4.0155 3.4323
4.0155 4.0155 -3.4323
Y Zn In
4 2 2
Direct
0.0983 0.6250 0.9733 Y
0.3750 0.3483 0.4733 Y
0.6517 0.1250 0.0267 Y
0.8750 0.9017 0.5267 Y
0.0000 0.0000 0.0000 Zn
0.7500 0.2500 0.5000 Zn
0.2500 0.7500 0.5000 In
0.5000 0.5000 0.0000 In
```



# 4
# YZnIn

A relaxed YZnIn crystal (PBE-GGA, the Alexandria database).

Formation enthalpy at 0 K in eV/atom: -0.359
Space-group type: No. 74
Magnetic moment in μB/cell: 0.000

Cell and atoms, written as POSCAR:
```
YZnIn
1.0
-2.8046 2.9816 4.0280
2.8046 -2.9816 4.0280
2.8046 2.9816 -4.0280
Y Zn In
2 2 2
Direct
0.3722 0.1222 0.2500 Y
0.6278 0.8778 0.7500 Y
0.0000 0.0000 0.5000 Zn
0.0000 0.5000 0.0000 Zn
0.0000 0.5000 0.5000 In
0.5000 0.5000 0.0000 In
```



# 5
# YZnIn2

A relaxed YZnIn2 crystal (PBE-GGA, the Alexandria database).

Formation enthalpy at 0 K in eV/atom: -0.207
Space-group type: No. 123
Magnetic moment in μB/cell: 0.579

Cell and atoms, written as POSCAR:
```
YZnIn2
1.0
3.6110 0.0000 0.0000
0.0000 3.6110 0.0000
0.0000 0.0000 7.2418
Y Zn In
1 1 2
Direct
0.0000 0.0000 0.0000 Y
0.0000 0.0000 0.5000 Zn
0.5000 0.5000 0.2867 In
0.5000 0.5000 0.7133 In
```



# 6
# YZn2In

A relaxed YZn2In crystal (PBE-GGA, the Alexandria database).

Formation enthalpy at 0 K in eV/atom: -0.109
Space-group type: No. 38
Magnetic moment in μB/cell: 0.001

Cell and atoms, written as POSCAR:
```
YZn2In
1.0
4.4596 0.0000 0.0000
0.0000 2.7313 3.7041
0.0000 -2.7313 3.7041
Y Zn In
1 2 1
Direct
0.0000 0.0000 0.0000 Y
0.0000 0.4126 0.4126 Zn
0.5000 0.2737 0.2737 Zn
0.5000 0.6589 0.6589 In
```



Among the records above, which one has the highest magnetic moment?
YZnIn2